(1)
K2HgI4: optimized geometry, GGA-PBE.

Output
SG: No. 15
Formation energy without anion corrections in kcal/mol of atoms: -22.39
Raw total energy in eV/atom: -2.213
Excess energy over the best structure of this formula in the dataset in kJ per mole of atoms: 0.0

Cell lengths 9.096, 9.096, 10.713 Å; angles 103.22, 103.22, 117.05 degrees
Element x y z (fractional)
K1 0.073 0.927 0.750
K2 0.324 0.676 0.250
K3 0.676 0.324 0.750
K4 0.927 0.073 0.250
Hg1 0.375 0.625 0.750
Hg2 0.625 0.375 0.250
I1 0.163 0.648 0.905
I2 0.244 0.260 0.595
I3 0.260 0.244 0.095
I4 0.352 0.837 0.595
I5 0.648 0.163 0.405
I6 0.740 0.756 0.905
I7 0.756 0.740 0.405
I8 0.837 0.352 0.095

(2)
K2HgI: optimized geometry, GGA-PBE.

Output
SG: No. 122
Formation energy without anion corrections in kcal/mol of atoms: -15.19
Raw total energy in eV/atom: -1.670
Excess energy over the best structure of this formula in the dataset in kJ per mole of atoms: 12.1

Cell lengths 7.990, 7.990, 7.990 Å; angles 107.88, 107.88, 112.71 degrees
Element x y z (fractional)
K1 0.114 0.625 0.989
K2 0.375 0.364 0.489
K3 0.636 0.125 0.011
K4 0.875 0.886 0.511
Hg1 0.250 0.750 0.500
Hg2 0.500 0.500 0.000
I1 0.000 0.000 0.000
I2 0.750 0.250 0.500

(3)
KHgI: optimized geometry, GGA-PBE.

Output
SG: No. 2
Formation energy without anion corrections in kcal/mol of atoms: -21.50
Raw total energy in eV/atom: -1.915
Excess energy over the best structure of this formula in the dataset in kJ per mole of atoms: 0.0

Cell lengths 4.969, 4.971, 10.243 Å; angles 89.95, 89.51, 89.98 degrees
Element x y z (fractional)
K1 0.245 0.250 0.173
K2 0.755 0.750 0.827
Hg1 0.250 0.750 0.500
Hg2 0.750 0.250 0.500
I1 0.254 0.251 0.825
I2 0.746 0.749 0.175

(4)
K2Hg2I: optimized geometry, GGA-PBE.

Output
SG: No. 127
Formation energy without anion corrections in kcal/mol of atoms: -12.84
Raw total energy in eV/atom: -1.427
Excess energy over the best structure of this formula in the dataset in kJ per mole of atoms: 11.7

Cell lengths 9.487, 9.487, 4.883 Å; angles 90.00, 90.00, 90.00 degrees
Element x y z (fractional)
K1 0.185 0.315 0.000
K2 0.315 0.815 0.000
K3 0.685 0.185 0.000
K4 0.815 0.685 0.000
Hg1 0.115 0.615 0.500
Hg2 0.385 0.115 0.500
Hg3 0.615 0.885 0.500
Hg4 0.885 0.385 0.500
I1 0.000 0.000 0.000
I2 0.500 0.500 0.000

(5)
K3Hg5I12: optimized geometry, GGA-PBE.

Output
SG: No. 230
Formation energy without anion corrections in kcal/mol of atoms: -13.92
Raw total energy in eV/atom: -1.774

Cell lengths 16.701, 16.701, 16.701 Å; angles 109.47, 109.47, 109.47 degrees
Element x y z (fractional)
K1 0.125 0.250 0.375
K2 0.125 0.375 0.750
K3 0.250 0.375 0.125
K4 0.250 0.875 0.625
K5 0.375 0.125 0.250
K6 0.375 0.750 0.125
K7 0.625 0.250 0.875
K8 0.625 0.875 0.750
K9 0.750 0.125 0.375
K10 0.750 0.625 0.875
K11 0.875 0.625 0.250
K12 0.875 0.750 0.625
Hg1 0.000 0.000 0.000
Hg2 0.000 0.000 0.500
Hg3 0.000 0.500 0.000
Hg4 0.000 0.500 0.500
Hg5 0.125 0.750 0.875
Hg6 0.125 0.875 0.250
Hg7 0.250 0.125 0.875
Hg8 0.250 0.625 0.375
Hg9 0.375 0.250 0.625
Hg10 0.375 0.625 0.750
Hg11 0.500 0.000 0.000
Hg12 0.500 0.000 0.500
Hg13 0.500 0.500 0.000
Hg14 0.500 0.500 0.500
Hg15 0.625 0.375 0.250
Hg16 0.625 0.750 0.375
Hg17 0.750 0.375 0.625
Hg18 0.750 0.875 0.125
Hg19 0.875 0.125 0.750
Hg20 0.875 0.250 0.125
I1 0.026 0.205 0.120
I2 0.026 0.321 0.906
I3 0.085 0.705 0.679
I4 0.085 0.880 0.406
I5 0.094 0.620 0.415
I6 0.094 0.974 0.679
I7 0.120 0.026 0.205
I8 0.120 0.594 0.915
I9 0.179 0.205 0.585
I10 0.179 0.474 0.594
I11 0.205 0.120 0.026
I12 0.205 0.585 0.179
I13 0.295 0.321 0.915
I14 0.295 0.474 0.380
I15 0.321 0.906 0.026
I16 0.321 0.915 0.295
I17 0.380 0.295 0.474
I18 0.380 0.585 0.906
I19 0.406 0.085 0.880
I20 0.406 0.821 0.526
I21 0.415 0.094 0.620
I22 0.415 0.821 0.795
I23 0.474 0.380 0.295
I24 0.474 0.594 0.179
I25 0.526 0.406 0.821
I26 0.526 0.620 0.705
I27 0.585 0.179 0.205
I28 0.585 0.906 0.380
I29 0.594 0.179 0.474
I30 0.594 0.915 0.120
I31 0.620 0.415 0.094
I32 0.620 0.705 0.526
I33 0.679 0.085 0.705
I34 0.679 0.094 0.974
I35 0.705 0.526 0.620
I36 0.705 0.679 0.085
I37 0.795 0.415 0.821
I38 0.795 0.880 0.974
I39 0.821 0.526 0.406
I40 0.821 0.795 0.415
I41 0.880 0.406 0.085
I42 0.880 0.974 0.795
I43 0.906 0.026 0.321
I44 0.906 0.380 0.585
I45 0.915 0.120 0.594
I46 0.915 0.295 0.321
I47 0.974 0.679 0.094
I48 0.974 0.795 0.880

(6)
K3HgI3: optimized geometry, GGA-PBE.

Output
SG: No. 148
Formation energy without anion corrections in kcal/mol of atoms: -28.08
Raw total energy in eV/atom: -2.395

Cell lengths 9.408, 9.408, 9.408 Å; angles 68.93, 68.93, 68.93 degrees
Element x y z (fractional)
K1 0.080 0.748 0.421
K2 0.252 0.579 0.920
K3 0.421 0.080 0.748
K4 0.579 0.920 0.252
K5 0.748 0.421 0.080
K6 0.920 0.252 0.579
Hg1 0.334 0.334 0.334
Hg2 0.666 0.666 0.666
I1 0.087 0.411 0.756
I2 0.244 0.913 0.589
I3 0.411 0.756 0.087
I4 0.589 0.244 0.913
I5 0.756 0.087 0.411
I6 0.913 0.589 0.244

(7)
KHg2I: optimized geometry, GGA-PBE.

Output
SG: No. 122
Formation energy without anion corrections in kcal/mol of atoms: -13.15
Raw total energy in eV/atom: -1.383
Excess energy over the best structure of this formula in the dataset in kJ per mole of atoms: 12.1

Cell lengths 7.855, 7.855, 7.855 Å; angles 100.51, 100.51, 129.44 degrees
Element x y z (fractional)
K1 0.000 0.000 0.000
K2 0.750 0.250 0.500
Hg1 0.126 0.125 0.501
Hg2 0.375 0.874 0.999
Hg3 0.624 0.625 0.499
Hg4 0.875 0.376 0.001
I1 0.250 0.750 0.500
I2 0.500 0.500 0.000

(8)
K5HgI8: optimized geometry, GGA-PBE.

Output
SG: No. 82
Formation energy without anion corrections in kcal/mol of atoms: -23.47
Raw total energy in eV/atom: -2.317

Cell lengths 9.359, 9.359, 9.359 Å; angles 112.32, 112.32, 103.92 degrees
Element x y z (fractional)
K1 0.000 0.000 0.000
K2 0.252 0.656 0.136
K3 0.344 0.479 0.596
K4 0.521 0.117 0.864
K5 0.883 0.748 0.404
Hg1 0.750 0.250 0.500
I1 0.073 0.255 0.724
I2 0.177 0.769 0.785
I3 0.231 0.016 0.408
I4 0.531 0.349 0.276
I5 0.608 0.823 0.592
I6 0.651 0.927 0.182
I7 0.745 0.469 0.818
I8 0.984 0.392 0.215

(9)
KHgI3: optimized geometry, GGA-PBE.

Output
SG: No. 33
Formation energy without anion corrections in kcal/mol of atoms: -17.76
Raw total energy in eV/atom: -1.980
Excess energy over the best structure of this formula in the dataset in kJ per mole of atoms: 0.0

Cell lengths 8.719, 8.638, 12.067 Å; angles 90.00, 90.00, 90.00 degrees
Element x y z (fractional)
K1 0.119 0.085 0.000
K2 0.381 0.585 0.500
K3 0.619 0.415 0.000
K4 0.881 0.915 0.500
Hg1 0.193 0.649 0.156
Hg2 0.307 0.149 0.656
Hg3 0.693 0.851 0.156
Hg4 0.807 0.351 0.656
I1 0.051 0.304 0.502
I2 0.198 0.853 0.692
I3 0.213 0.871 0.323
I4 0.287 0.371 0.823
I5 0.302 0.353 0.192
I6 0.449 0.804 0.002
I7 0.551 0.196 0.502
I8 0.698 0.647 0.692
I9 0.713 0.629 0.323
I10 0.787 0.129 0.823
I11 0.802 0.147 0.192
I12 0.949 0.696 0.002

(10)
KHgI3: optimized geometry, GGA-PBE.

Output
SG: No. 14
Formation energy without anion corrections in kcal/mol of atoms: -17.63
Raw total energy in eV/atom: -1.974
Excess energy over the best structure of this formula in the dataset in kJ per mole of atoms: 0.5

Cell lengths 8.643, 8.599, 14.037 Å; angles 90.00, 119.59, 90.00 degrees
Element x y z (fractional)
K1 0.148 0.101 0.211
K2 0.148 0.399 0.711
K3 0.852 0.601 0.289
K4 0.852 0.899 0.789
Hg1 0.257 0.568 0.077
Hg2 0.257 0.932 0.577
Hg3 0.743 0.068 0.423
Hg4 0.743 0.432 0.923
I1 0.061 0.238 0.440
I2 0.061 0.262 0.940
I3 0.298 0.713 0.918
I4 0.298 0.787 0.418
I5 0.441 0.059 0.782
I6 0.441 0.441 0.282
I7 0.559 0.559 0.718
I8 0.559 0.941 0.218
I9 0.702 0.213 0.582
I10 0.702 0.287 0.082
I11 0.939 0.738 0.060
I12 0.939 0.762 0.560

(11)
KHg2I: optimized geometry, GGA-PBE.

Output
SG: No. 123
Formation energy without anion corrections in kcal/mol of atoms: -15.08
Raw total energy in eV/atom: -1.467
Excess energy over the best structure of this formula in the dataset in kJ per mole of atoms: 4.0

Cell lengths 4.893, 4.893, 6.610 Å; angles 90.00, 90.00, 90.00 degrees
Element x y z (fractional)
K1 0.000 0.000 0.000
Hg1 0.000 0.500 0.500
Hg2 0.500 0.000 0.500
I1 0.500 0.500 0.000

(12)
K5Hg3I12: optimized geometry, GGA-PBE.

Output
SG: No. 230
Formation energy without anion corrections in kcal/mol of atoms: -18.04
Raw total energy in eV/atom: -2.032

Cell lengths 17.501, 17.501, 17.501 Å; angles 109.47, 109.47, 109.47 degrees
Element x y z (fractional)
K1 0.000 0.000 0.000
K2 0.000 0.000 0.500
K3 0.000 0.500 0.000
K4 0.000 0.500 0.500
K5 0.125 0.750 0.875
K6 0.125 0.875 0.250
K7 0.250 0.125 0.875
K8 0.250 0.625 0.375
K9 0.375 0.250 0.625
K10 0.375 0.625 0.750
K11 0.500 0.000 0.000
K12 0.500 0.000 0.500
K13 0.500 0.500 0.000
K14 0.500 0.500 0.500
K15 0.625 0.375 0.250
K16 0.625 0.750 0.375
K17 0.750 0.375 0.625
K18 0.750 0.875 0.125
K19 0.875 0.125 0.750
K20 0.875 0.250 0.125
Hg1 0.125 0.250 0.375
Hg2 0.125 0.375 0.750
Hg3 0.250 0.375 0.125
Hg4 0.250 0.875 0.625
Hg5 0.375 0.125 0.250
Hg6 0.375 0.750 0.125
Hg7 0.625 0.250 0.875
Hg8 0.625 0.875 0.750
Hg9 0.750 0.125 0.375
Hg10 0.750 0.625 0.875
Hg11 0.875 0.625 0.250
Hg12 0.875 0.750 0.625
I1 0.025 0.637 0.212
I2 0.025 0.889 0.814
I3 0.075 0.186 0.712
I4 0.075 0.389 0.363
I5 0.111 0.186 0.975
I6 0.111 0.425 0.137
I7 0.137 0.111 0.425
I8 0.137 0.525 0.712
I9 0.186 0.712 0.075
I10 0.186 0.975 0.111
I11 0.212 0.025 0.637
I12 0.212 0.686 0.575
I13 0.288 0.863 0.475
I14 0.288 0.925 0.814
I15 0.314 0.389 0.525
I16 0.314 0.425 0.788
I17 0.363 0.075 0.389
I18 0.363 0.788 0.975
I19 0.389 0.363 0.075
I20 0.389 0.525 0.314
I21 0.425 0.137 0.111
I22 0.425 0.788 0.314
I23 0.475 0.288 0.863
I24 0.475 0.686 0.611
I25 0.525 0.314 0.389
I26 0.525 0.712 0.137
I27 0.575 0.212 0.686
I28 0.575 0.863 0.889
I29 0.611 0.475 0.686
I30 0.611 0.637 0.925
I31 0.637 0.212 0.025
I32 0.637 0.925 0.611
I33 0.686 0.575 0.212
I34 0.686 0.611 0.475
I35 0.712 0.075 0.186
I36 0.712 0.137 0.525
I37 0.788 0.314 0.425
I38 0.788 0.975 0.363
I39 0.814 0.025 0.889
I40 0.814 0.288 0.925
I41 0.863 0.475 0.288
I42 0.863 0.889 0.575
I43 0.889 0.575 0.863
I44 0.889 0.814 0.025
I45 0.925 0.611 0.637
I46 0.925 0.814 0.288
I47 0.975 0.111 0.186
I48 0.975 0.363 0.788

(13)
K2HgI: optimized geometry, GGA-PBE.

Output
SG: No. 225
Formation energy without anion corrections in kcal/mol of atoms: -15.69
Raw total energy in eV/atom: -1.692
Excess energy over the best structure of this formula in the dataset in kJ per mole of atoms: 10.0

Cell lengths 6.180, 6.180, 6.180 Å; angles 60.00, 60.00, 60.00 degrees
Element x y z (fractional)
K1 0.250 0.250 0.250
K2 0.750 0.750 0.750
Hg1 0.000 0.000 0.000
I1 0.500 0.500 0.500

(14)
KHgI: optimized geometry, GGA-PBE.

Output
SG: No. 216
Formation energy without anion corrections in kcal/mol of atoms: -20.03
Raw total energy in eV/atom: -1.852
Excess energy over the best structure of this formula in the dataset in kJ per mole of atoms: 6.1

Cell lengths 5.835, 5.835, 5.835 Å; angles 60.00, 60.00, 60.00 degrees
Element x y z (fractional)
K1 0.000 0.000 0.000
Hg1 0.250 0.250 0.250
I1 0.750 0.750 0.750

(15)
K2Hg2I: optimized geometry, GGA-PBE.

Output
SG: No. 127
Formation energy without anion corrections in kcal/mol of atoms: -12.89
Raw total energy in eV/atom: -1.429
Excess energy over the best structure of this formula in the dataset in kJ per mole of atoms: 11.5

Cell lengths 9.293, 9.293, 4.618 Å; angles 90.00, 90.00, 90.00 degrees
Element x y z (fractional)
K1 0.187 0.313 0.000
K2 0.313 0.813 0.000
K3 0.687 0.187 0.000
K4 0.813 0.687 0.000
Hg1 0.114 0.614 0.500
Hg2 0.386 0.114 0.500
Hg3 0.614 0.886 0.500
Hg4 0.886 0.386 0.500
I1 0.000 0.000 0.500
I2 0.500 0.500 0.500

(16)
KHg2I: optimized geometry, GGA-PBE.

Output
SG: No. 225
Formation energy without anion corrections in kcal/mol of atoms: -12.30
Raw total energy in eV/atom: -1.346
Excess energy over the best structure of this formula in the dataset in kJ per mole of atoms: 15.6

Cell lengths 6.056, 6.056, 6.056 Å; angles 60.00, 60.00, 60.00 degrees
Element x y z (fractional)
K1 0.000 0.000 0.000
Hg1 0.250 0.250 0.250
Hg2 0.750 0.750 0.750
I1 0.500 0.500 0.500